Record 1
RbAu: relaxed, PBE.

For the formation enthalpy at 0 K, the calculation gives -0.18 eV per atom.

It has space group Fddd (No. 70, origin choice 2), with a = 6.1511 Å, b = 10.0921 Å, c = 17.6433 Å, α = 90.00°, β = 90.00° and γ = 90.00°. Symmetry generates all atoms from Rb at (0.1250, 0.2947, 0.1250) and Au at (0.1250, 0.1250, 0.5444).

---

Record 2
Tl2In2HgPb: relaxed, PBE.

For the formation enthalpy at 0 K, the calculation gives 0.02 eV per atom.

It has space group Pmc2_1 (No. 26), with a = 5.3709 Å, b = 9.6924 Å, c = 6.7144 Å, α = 90.00°, β = 90.00° and γ = 90.00°. Symmetry generates all atoms from Tl at (0.0000, 0.0219, 0.0000), Tl at (0.5000, 0.1719, 0.3104), In at (0.0000, 0.3513, 0.1081), In at (0.5000, 0.1832, 0.8098), Hg at (0.5000, 0.4936, 0.9388) and Pb at (0.0000, 0.3192, 0.6004).

---

Record 3
Mg2NiMo: relaxed, PBE.

For the formation enthalpy at 0 K, the calculation gives 0.13 eV per atom.

It has space group P4/mmm (No. 123), with a = 2.7844 Å, b = 2.7844 Å, c = 8.0303 Å, α = 90.00°, β = 90.00° and γ = 90.00°. Symmetry generates all atoms from Mg at (0.0000, 0.0000, 0.2217), Ni at (0.5000, 0.5000, 0.0000) and Mo at (0.5000, 0.5000, 0.5000).

---

Record 4
Pr2Ho3Pt2: relaxed, PBE.

For the formation enthalpy at 0 K, the calculation gives -0.77 eV per atom.

It has space group C2/m (No. 12), with a = 12.5968 Å, b = 3.7751 Å, c = 9.1613 Å, α = 90.00°, β = 117.70° and γ = 90.00°. Symmetry generates all atoms from Pr at (0.1598, 0.0000, 0.3128), Ho at (0.0000, 0.5000, 0.5000), Ho at (0.1173, 0.5000, 0.9371) and Pt at (0.1658, 0.0000, 0.7426).

---

Record 5
SmPuCd: relaxed, PBE.

For the formation enthalpy at 0 K, the calculation gives 0.00 eV per atom.

It has space group I4mm (No. 107), with a = 3.4592 Å, b = 3.4592 Å, c = 14.1616 Å, α = 90.00°, β = 90.00° and γ = 90.00°. Symmetry generates all atoms from Sm at (0.0000, 0.0000, 0.0000), Pu at (0.0000, 0.0000, 0.6826) and Cd at (0.0000, 0.0000, 0.3415).

---

Record 6
NbPPbO2: relaxed, PBE.

As for the energy relative to the elements, uncorrected: -1.29 eV per atom.

It has space group P4/mmm (No. 123), with a = 4.0508 Å, b = 4.0508 Å, c = 5.1814 Å, α = 90.00°, β = 90.00° and γ = 90.00°. Symmetry generates all atoms from Nb at (0.0000, 0.0000, 0.0000), P at (0.0000, 0.0000, 0.5000), Pb at (0.5000, 0.5000, 0.5000) and O at (0.0000, 0.5000, 0.0000).

---

Record 7
PuVCl2: relaxed, PBE.

As for the energy relative to the elements, uncorrected: -0.50 eV per atom.

It has space group R-3m (No. 166, hexagonal axes), with a = 3.5612 Å, b = 3.5612 Å, c = 26.3360 Å, α = 90.00°, β = 90.00° and γ = 120.00°. Symmetry generates all atoms from Pu at (0.0000, 0.0000, 0.0000), V at (0.0000, 0.0000, 0.5000) and Cl at (0.0000, 0.0000, 0.1124).

---

Record 8
Dy2LuTa: relaxed, PBE.

For the formation enthalpy at 0 K, the calculation gives 0.58 eV per atom.

It has space group R-3m (No. 166, hexagonal axes), with a = 3.2539 Å, b = 3.2539 Å, c = 34.6195 Å, α = 90.00°, β = 90.00° and γ = 120.00°. Symmetry generates all atoms from Dy at (0.0000, 0.0000, 0.0846), Lu at (0.0000, 0.0000, 0.5000) and Ta at (0.0000, 0.0000, 0.0000).

---

Record 9
CdAgAu2: relaxed, PBE.

For the formation enthalpy at 0 K, the calculation gives 0.07 eV per atom.

It has space group Immm (No. 71), with a = 2.9384 Å, b = 4.8840 Å, c = 11.2201 Å, α = 90.00°, β = 90.00° and γ = 90.00°. Symmetry generates all atoms from Cd at (0.0000, 0.0000, 0.0000), Ag at (0.0000, 0.0000, 0.5000) and Au at (0.0000, 0.0000, 0.2523).

---

Record 10
MnV3Cr: relaxed, PBE.

For the formation enthalpy at 0 K, the calculation gives 0.89 eV per atom.

It has space group Pm-3m (No. 221), with a = 4.3059 Å, b = 4.3059 Å, c = 4.3059 Å, α = 90.00°, β = 90.00° and γ = 90.00°. Symmetry generates all atoms from Mn at (0.0000, 0.0000, 0.0000), V at (0.0000, 0.0000, 0.5000) and Cr at (0.5000, 0.5000, 0.5000).